KHg2SCl3O3: PBEsol geometry, SCAN.

abc: 11.2818 11.2818 6.9162
angles: 90.00 90.00 149.61
Fractional positions:
K (0.2356, 0.7644, 0.5000)
K (0.7644, 0.2356, 0.0000)
Hg (0.0593, 0.9407, 0.0198)
Hg (0.4004, 0.5996, 0.1566)
Hg (0.5996, 0.4004, 0.6566)
Hg (0.9407, 0.0593, 0.5198)
S (0.1671, 0.8329, 0.9524)
S (0.8329, 0.1671, 0.4524)
Cl (0.0492, 0.9508, 0.5745)
Cl (0.3454, 0.6546, 0.8725)
Cl (0.4613, 0.5387, 0.4334)
Cl (0.5387, 0.4613, 0.9334)
Cl (0.6546, 0.3454, 0.3725)
Cl (0.9508, 0.0492, 0.0745)
O (0.0273, 0.3849, 0.3354)
O (0.2015, 0.7985, 0.1340)
O (0.3849, 0.0273, 0.8354)
O (0.6151, 0.9727, 0.3354)
O (0.7985, 0.2015, 0.6340)
O (0.9727, 0.6151, 0.8354)

Computed properties:
total moment = 0.0 μB/f.u.

---

SrSbCl2: PBEsol geometry, SCAN.

abc: 5.7445 3.7718 9.9630
angles: 90.00 90.00 90.00
Fractional positions:
Sr (0.0000, 0.0000, 0.0000)
Sr (0.0000, 0.5000, 0.5000)
Sb (0.5000, 0.0000, 0.5969)
Sb (0.5000, 0.5000, 0.0969)
Cl (0.0000, 0.0000, 0.2901)
Cl (0.0000, 0.5000, 0.7901)
Cl (0.5000, 0.0000, 0.8481)
Cl (0.5000, 0.5000, 0.3481)

Computed properties:
energy relative to the lowest polymorph listed for this composition = 0.000 eV per atom
total moment = 0.0 μB/f.u.

---

TcICl2: PBEsol geometry, SCAN.

abc: 3.0735 3.0735 34.6095
angles: 90.00 90.00 120.00
Fractional positions:
Tc (0.0000, 0.0000, 0.0000)
Tc (0.3333, 0.6667, 0.6667)
Tc (0.6667, 0.3333, 0.3333)
I (0.0000, 0.0000, 0.5000)
I (0.3333, 0.6667, 0.1667)
I (0.6667, 0.3333, 0.8333)
Cl (0.0000, 0.0000, 0.0631)
Cl (0.0000, 0.0000, 0.9369)
Cl (0.3333, 0.6667, 0.6036)
Cl (0.3333, 0.6667, 0.7298)
Cl (0.6667, 0.3333, 0.2702)
Cl (0.6667, 0.3333, 0.3964)

Computed properties:
total moment = 0.0 μB/f.u.

---

Ta2ReBr: PBEsol geometry, SCAN.

abc: 10.3293 3.1120 4.4958
angles: 90.00 106.25 90.00
Fractional positions:
Ta (0.0000, 0.0000, 0.0000)
Ta (0.2273, 0.0000, 0.6595)
Ta (0.5000, 0.5000, 0.0000)
Ta (0.7273, 0.5000, 0.6595)
Re (0.0116, 0.5000, 0.5390)
Re (0.5116, 0.0000, 0.5390)
Br (0.2859, 0.5000, 0.2028)
Br (0.7859, 0.0000, 0.2028)

Computed properties:
energy relative to the lowest polymorph listed for this composition = 0.000 eV per atom
total moment = 0.0 μB/f.u.

---

| no. | ΔE_f (raw) (meV per atom) |
| --- | --- |
| 1 | -1210.2 |
| 2 | -1439.8 |
| 3 | 173.3 |
| 4 | 558.9 |